# 1
# Cr2CoTc PBEsol relaxed
data_Cr2CoTc
_cell_length_a 4.698
_cell_length_b 4.698
_cell_length_c 4.698
_cell_angle_alpha 143.70
_cell_angle_beta 129.30
_cell_angle_gamma 63.94
_symmetry_space_group_name_H-M 'P 1'
_symmetry_Int_Tables_number 1
loop_
_symmetry_equiv_pos_as_xyz
'x,y,z'
loop_
_atom_site_label
_atom_site_type_symbol
_atom_site_fract_x
_atom_site_fract_y
_atom_site_fract_z
_atom_site_occupancy
Cr1 Cr 0.000 0.000 0.000 1
Cr2 Cr 0.776 0.276 0.500 1
Co1 Co 0.518 0.518 0.000 1
Tc1 Tc 0.249 0.749 0.500 1
# SG: Imm2, No. 44
# V: 46.92 Å³ per cell
# formation energy from the elements: 135 meV/atom

---

# 2
# HfCrSeBr2 PBEsol relaxed
data_HfCrSeBr2
_cell_length_a 5.169
_cell_length_b 5.169
_cell_length_c 5.114
_cell_angle_alpha 90.00
_cell_angle_beta 90.00
_cell_angle_gamma 90.00
_symmetry_space_group_name_H-M 'P 1'
_symmetry_Int_Tables_number 1
loop_
_symmetry_equiv_pos_as_xyz
'x,y,z'
loop_
_atom_site_label
_atom_site_type_symbol
_atom_site_fract_x
_atom_site_fract_y
_atom_site_fract_z
_atom_site_occupancy
Hf1 Hf 0.000 0.000 0.000 1
Cr1 Cr 0.500 0.500 0.500 1
Se1 Se 0.000 0.000 0.500 1
Br1 Br 0.000 0.500 0.000 1
Br2 Br 0.500 0.000 0.000 1
# ΔE_f (raw): -12.4 kJ/mol of atoms
# SG: P4/mmm, No. 123
# V: 136.61 Å³ per cell

---

# 3
# Ca2POs PBEsol relaxed
data_Ca2POs
_cell_length_a 4.026
_cell_length_b 5.484
_cell_length_c 5.484
_cell_angle_alpha 47.88
_cell_angle_beta 90.00
_cell_angle_gamma 90.00
_symmetry_space_group_name_H-M 'P 1'
_symmetry_Int_Tables_number 1
loop_
_symmetry_equiv_pos_as_xyz
'x,y,z'
loop_
_atom_site_label
_atom_site_type_symbol
_atom_site_fract_x
_atom_site_fract_y
_atom_site_fract_z
_atom_site_occupancy
Ca1 Ca 0.000 0.000 0.000 1
Ca2 Ca 0.500 0.291 0.291 1
P1 P 0.500 0.594 0.594 1
Os1 Os 0.000 0.694 0.694 1
# SG: Amm2, No. 38
# V: 89.82 Å³ per cell
# formation energy from the elements: -411 meV/atom

---

# 4
# ThIn PBEsol relaxed
data_ThIn
_cell_length_a 3.449
_cell_length_b 3.449
_cell_length_c 4.580
_cell_angle_alpha 90.00
_cell_angle_beta 90.00
_cell_angle_gamma 90.00
_symmetry_space_group_name_H-M 'P 1'
_symmetry_Int_Tables_number 1
loop_
_symmetry_equiv_pos_as_xyz
'x,y,z'
loop_
_atom_site_label
_atom_site_type_symbol
_atom_site_fract_x
_atom_site_fract_y
_atom_site_fract_z
_atom_site_occupancy
Th1 Th 0.000 0.000 0.000 1
In1 In 0.500 0.500 0.500 1
# SG: P4/mmm, No. 123
# V: 54.48 Å³ per cell
# formation energy from the elements: -326 meV/atom

---

# 5
# Li2Ca2Be PBEsol relaxed
data_Li2Ca2Be
_cell_length_a 7.030
_cell_length_b 7.030
_cell_length_c 4.906
_cell_angle_alpha 90.00
_cell_angle_beta 90.00
_cell_angle_gamma 90.00
_symmetry_space_group_name_H-M 'P 1'
_symmetry_Int_Tables_number 1
loop_
_symmetry_equiv_pos_as_xyz
'x,y,z'
loop_
_atom_site_label
_atom_site_type_symbol
_atom_site_fract_x
_atom_site_fract_y
_atom_site_fract_z
_atom_site_occupancy
Li1 Li 0.136 0.364 0.000 1
Li2 Li 0.364 0.864 0.000 1
Li3 Li 0.636 0.136 0.000 1
Li4 Li 0.864 0.636 0.000 1
Ca1 Ca 0.189 0.689 0.500 1
Ca2 Ca 0.311 0.189 0.500 1
Ca3 Ca 0.689 0.811 0.500 1
Ca4 Ca 0.811 0.311 0.500 1
Be1 Be 0.000 0.000 0.000 1
Be2 Be 0.500 0.500 0.000 1
# SG: P4/mbm, No. 127
# V: 242.47 Å³ per cell
# formation energy from the elements: 306 meV/atom

---

# 6
# BeSiP2 PBEsol relaxed
data_BeSiP2
_cell_length_a 6.229
_cell_length_b 6.229
_cell_length_c 6.229
_cell_angle_alpha 131.72
_cell_angle_beta 131.72
_cell_angle_gamma 70.67
_symmetry_space_group_name_H-M 'P 1'
_symmetry_Int_Tables_number 1
loop_
_symmetry_equiv_pos_as_xyz
'x,y,z'
loop_
_atom_site_label
_atom_site_type_symbol
_atom_site_fract_x
_atom_site_fract_y
_atom_site_fract_z
_atom_site_occupancy
Be1 Be 0.000 0.000 0.000 1
Be2 Be 0.750 0.250 0.500 1
Si1 Si 0.250 0.750 0.500 1
Si2 Si 0.500 0.500 0.000 1
P1 P 0.109 0.625 0.984 1
P2 P 0.375 0.359 0.484 1
P3 P 0.641 0.125 0.016 1
P4 P 0.875 0.891 0.516 1
# ΔE_f (raw): -35.3 kJ/mol of atoms
# SG: I-42d, No. 122
# V: 131.91 Å³ per cell
# energy above the most stable polymorph in this dataset: 0.0 kJ/mol of formula units

---

# 7
# Li2InIr PBEsol relaxed
data_Li2InIr
_cell_length_a 4.408
_cell_length_b 4.408
_cell_length_c 4.408
_cell_angle_alpha 60.00
_cell_angle_beta 60.00
_cell_angle_gamma 60.00
_symmetry_space_group_name_H-M 'P 1'
_symmetry_Int_Tables_number 1
loop_
_symmetry_equiv_pos_as_xyz
'x,y,z'
loop_
_atom_site_label
_atom_site_type_symbol
_atom_site_fract_x
_atom_site_fract_y
_atom_site_fract_z
_atom_site_occupancy
Li1 Li 0.000 0.000 0.000 1
Li2 Li 0.250 0.250 0.250 1
In1 In 0.500 0.500 0.500 1
Ir1 Ir 0.750 0.750 0.750 1
# SG: F-43m, No. 216
# V: 60.58 Å³ per cell
# formation energy from the elements: -258 meV/atom

---

# 8
# LaSn3Ru PBEsol relaxed
data_LaSn3Ru
_cell_length_a 5.077
_cell_length_b 5.077
_cell_length_c 5.077
_cell_angle_alpha 90.00
_cell_angle_beta 90.00
_cell_angle_gamma 90.00
_symmetry_space_group_name_H-M 'P 1'
_symmetry_Int_Tables_number 1
loop_
_symmetry_equiv_pos_as_xyz
'x,y,z'
loop_
_atom_site_label
_atom_site_type_symbol
_atom_site_fract_x
_atom_site_fract_y
_atom_site_fract_z
_atom_site_occupancy
La1 La 0.000 0.000 0.000 1
Sn1 Sn 0.000 0.500 0.500 1
Sn2 Sn 0.500 0.000 0.500 1
Sn3 Sn 0.500 0.500 0.000 1
Ru1 Ru 0.500 0.500 0.500 1
# SG: Pm-3m, No. 221
# V: 130.88 Å³ per cell
# formation energy from the elements: -89 meV/atom